# 1
Material: HfCdN2F
Method: DFT, PBE
State: relaxed

Properties
density of states at the Fermi level = 2.5 states/eV per cell
distance to the lowest polymorph of the same formula = 0.00 eV per formula unit
total moment = 0.000 μB/atom
space-group type = P4/mmm, No. 123
energy relative to the elements, uncorrected = -0.780 eV/atom

Lattice parameters (Å, degrees): 4.232 4.232 4.073 90.00 90.00 90.00
Fractional coordinates of all 5 atoms:
N  0.000  0.500  0.000
N  0.500  0.000  0.000
F  0.000  0.000  0.500
Hf  0.000  0.000  0.000
Cd  0.500  0.500  0.500

# 2
Material: HfCdN2F
Method: DFT, PBE
State: relaxed

Properties
density of states at the Fermi level = 1.6 states/eV per cell
distance to the lowest polymorph of the same formula = 6.64 eV per formula unit
total moment = 0.000 μB/atom
space-group type = P4/mmm, No. 123
energy relative to the elements, uncorrected = 0.548 eV/atom

Lattice parameters (Å, degrees): 4.168 4.168 4.007 90.00 90.00 90.00
Fractional coordinates of all 5 atoms:
N  0.000  0.500  0.000
N  0.500  0.000  0.000
F  0.000  0.000  0.500
Hf  0.500  0.500  0.500
Cd  0.000  0.000  0.000

# 3
Material: HfCdOF2
Method: DFT, PBE
State: relaxed

Properties
density of states at the Fermi level = 0.3 states/eV per cell
distance to the lowest polymorph of the same formula = 0.00 eV per formula unit
total moment = 0.000 μB/atom
space-group type = P4/mmm, No. 123
energy relative to the elements, uncorrected = -2.465 eV/atom

Lattice parameters (Å, degrees): 4.372 4.372 4.029 90.00 90.00 90.00
Fractional coordinates of all 5 atoms:
F  0.000  0.500  0.000
F  0.500  0.000  0.000
Hf  0.000  0.000  0.000
O  0.000  0.000  0.500
Cd  0.500  0.500  0.500